(1)
Below is crystalline ZrTlReBi2 at its relaxed geometry, with properties calculated at the PBE-GGA level.

a = 5.346 Å, b = 5.346 Å, c = 5.280 Å
α = 90.00°, β = 90.00°, γ = 90.00°
Space group P4/mmm (No. 123)
Asymmetric unit:
Zr: 0.000 0.000 0.000 (multiplicity 1)
Tl: 0.500 0.500 0.000 (multiplicity 1)
Re: 0.500 0.500 0.500 (multiplicity 1)
Bi: 0.000 0.500 0.500 (multiplicity 2)

Output
* VASP energy: -5.12 eV/atom
* DOS(E_F): 1.670 states/eV/atom
* energy of formation from the pure elements: 25.43 kcal/mol of atoms
* energy above the most stable polymorph in this dataset: 71 meV per atom

(2)
Below is crystalline ZrTlReBi2 at its relaxed geometry, with properties calculated at the PBE-GGA level.

a = 5.714 Å, b = 5.714 Å, c = 5.060 Å
α = 90.00°, β = 90.00°, γ = 90.00°
Space group P4/mmm (No. 123)
Asymmetric unit:
Zr: 0.000 0.000 0.000 (multiplicity 1)
Tl: 0.500 0.500 0.500 (multiplicity 1)
Re: 0.000 0.000 0.500 (multiplicity 1)
Bi: 0.000 0.500 0.000 (multiplicity 2)

Output
* VASP energy: -5.19 eV/atom
* DOS(E_F): 0.810 states/eV/atom
* energy of formation from the pure elements: 23.79 kcal/mol of atoms
* energy above the most stable polymorph in this dataset: 0 meV per atom

(3)
Below is crystalline Tm12ReBi6 at its relaxed geometry, with properties calculated at the PBE-GGA level.

a = 13.1137 Å, b = 13.1137 Å, c = 12.0799 Å
α = 90.00°, β = 90.00°, γ = 120.00°
Space group R-3 (No. 148, hexagonal axes)
Asymmetric unit:
Tm: 0.0254 0.1776 0.3844 (multiplicity 18)
Tm: 0.0670 0.1895 0.8774 (multiplicity 18)
Re: 0.0000 0.0000 0.0000 (multiplicity 3)
Bi: 0.0394 0.2891 0.6353 (multiplicity 18)

Output
* VASP energy: -5.04 eV/atom
* DOS(E_F): 0.596 states/eV/atom
* energy of formation from the pure elements: -7.71 kcal/mol of atoms

(4)
Below is crystalline Tm8ReBi2 at its relaxed geometry, with properties calculated at the PBE-GGA level.

a = 17.150 Å, b = 5.421 Å, c = 6.905 Å
α = 90.00°, β = 101.59°, γ = 90.00°
Space group C2/m (No. 12)
Asymmetric unit:
Tm: 0.009 0.000 0.230 (multiplicity 4)
Tm: 0.101 0.500 0.742 (multiplicity 4)
Tm: 0.144 0.500 0.266 (multiplicity 4)
Tm: 0.192 0.000 0.032 (multiplicity 4)
Re: 0.000 0.500 0.000 (multiplicity 2)
Bi: 0.164 0.000 0.561 (multiplicity 4)

Output
* VASP energy: -5.30 eV/atom
* DOS(E_F): 0.802 states/eV/atom
* energy of formation from the pure elements: -4.85 kcal/mol of atoms

(5)
Below is crystalline UReBi at its relaxed geometry, with properties calculated at the PBE-GGA level.

a = 3.122 Å, b = 3.122 Å, c = 30.156 Å
α = 90.00°, β = 90.00°, γ = 90.00°
Space group I4/mmm (No. 139)
Asymmetric unit:
U: 0.000 0.000 0.158 (multiplicity 4)
Re: 0.000 0.000 0.275 (multiplicity 4)
Bi: 0.000 0.000 0.431 (multiplicity 4)

Output
* VASP energy: -9.12 eV/atom
* DOS(E_F): 1.799 states/eV/atom
* energy of formation from the pure elements: 1.91 kcal/mol of atoms

(6)
Below is crystalline V3ReBi at its relaxed geometry, with properties calculated at the PBE-GGA level.

a = 4.673 Å, b = 4.673 Å, c = 4.673 Å
α = 90.00°, β = 90.00°, γ = 90.00°
Space group Pm-3m (No. 221)
Asymmetric unit:
V: 0.000 0.000 0.500 (multiplicity 3)
Re: 0.000 0.000 0.000 (multiplicity 1)
Bi: 0.500 0.500 0.500 (multiplicity 1)

Output
* VASP energy: -7.75 eV/atom
* DOS(E_F): 1.458 states/eV/atom
* energy of formation from the pure elements: 22.82 kcal/mol of atoms
* energy above the most stable polymorph in this dataset: 0 meV per atom

(7)
Below is crystalline VReBi2 at its relaxed geometry, with properties calculated at the PBE-GGA level.

a = 6.474 Å, b = 6.474 Å, c = 12.160 Å
α = 90.00°, β = 90.00°, γ = 90.00°
Space group I-42d (No. 122)
Asymmetric unit:
V: 0.000 0.000 0.000 (multiplicity 4)
Re: 0.000 0.000 0.500 (multiplicity 4)
Bi: 0.234 0.250 0.625 (multiplicity 8)

Output
* VASP energy: -5.96 eV/atom
* DOS(E_F): 1.251 states/eV/atom
* energy of formation from the pure elements: 31.70 kcal/mol of atoms
* energy above the most stable polymorph in this dataset: 628 meV per atom

(8)
Below is crystalline VReBi at its relaxed geometry, with properties calculated at the PBE-GGA level.

a = 3.174 Å, b = 3.174 Å, c = 24.891 Å
α = 90.00°, β = 90.00°, γ = 90.00°
Space group I4/mmm (No. 139)
Asymmetric unit:
V: 0.000 0.000 0.165 (multiplicity 4)
Re: 0.000 0.000 0.283 (multiplicity 4)
Bi: 0.000 0.000 0.415 (multiplicity 4)

Output
* VASP energy: -8.43 eV/atom
* DOS(E_F): 0.440 states/eV/atom
* energy of formation from the pure elements: 1.22 kcal/mol of atoms

(9)
Below is crystalline VRe2Bi2 at its relaxed geometry, with properties calculated at the PBE-GGA level.

a = 6.657 Å, b = 6.657 Å, c = 4.636 Å
α = 90.00°, β = 90.00°, γ = 90.00°
Space group P4/mbm (No. 127)
Asymmetric unit:
V: 0.000 0.000 0.000 (multiplicity 2)
Re: 0.131 0.369 0.000 (multiplicity 4)
Bi: 0.186 0.686 0.500 (multiplicity 4)

Output
* VASP energy: -7.49 eV/atom
* DOS(E_F): 0.946 states/eV/atom
* energy of formation from the pure elements: 20.02 kcal/mol of atoms

(10)
Below is crystalline VRe2Bi4 at its relaxed geometry, with properties calculated at the PBE-GGA level.

a = 5.417 Å, b = 5.417 Å, c = 13.401 Å
α = 90.00°, β = 90.00°, γ = 90.00°
Space group I4/mmm (No. 139)
Asymmetric unit:
V: 0.000 0.000 0.000 (multiplicity 2)
Re: 0.000 0.000 0.411 (multiplicity 4)
Bi: 0.000 0.000 0.206 (multiplicity 4)
Bi: 0.000 0.500 0.000 (multiplicity 4)

Output
* VASP energy: -5.91 eV/atom
* DOS(E_F): 1.144 states/eV/atom
* energy of formation from the pure elements: 26.94 kcal/mol of atoms

(11)
Below is crystalline VReBi2 at its relaxed geometry, with properties calculated at the PBE-GGA level.

a = 6.877 Å, b = 6.877 Å, c = 6.877 Å
α = 90.00°, β = 90.00°, γ = 90.00°
Space group Fm-3m (No. 225)
Asymmetric unit:
V: 0.000 0.000 0.000 (multiplicity 4)
Re: 0.000 0.000 0.500 (multiplicity 4)
Bi: 0.250 0.250 0.250 (multiplicity 8)

Output
* VASP energy: -6.58 eV/atom
* DOS(E_F): 0.407 states/eV/atom
* energy of formation from the pure elements: 17.23 kcal/mol of atoms
* energy above the most stable polymorph in this dataset: 0 meV per atom

(12)
Below is crystalline V2ReBi at its relaxed geometry, with properties calculated at the PBE-GGA level.

a = 4.104 Å, b = 4.104 Å, c = 17.822 Å
α = 90.00°, β = 90.00°, γ = 90.00°
Space group I-42d (No. 122)
Asymmetric unit:
V: 0.210 0.250 0.125 (multiplicity 8)
Re: 0.000 0.000 0.000 (multiplicity 4)
Bi: 0.000 0.000 0.500 (multiplicity 4)

Output
* VASP energy: -7.63 eV/atom
* DOS(E_F): 1.412 states/eV/atom
* energy of formation from the pure elements: 23.39 kcal/mol of atoms

(13)
Below is crystalline VRe2Bi at its relaxed geometry, with properties calculated at the PBE-GGA level.

a = 4.082 Å, b = 4.082 Å, c = 18.699 Å
α = 90.00°, β = 90.00°, γ = 90.00°
Space group I-42d (No. 122)
Asymmetric unit:
V: 0.000 0.000 0.000 (multiplicity 4)
Re: 0.173 0.250 0.125 (multiplicity 8)
Bi: 0.000 0.000 0.500 (multiplicity 4)

Output
* VASP energy: -8.50 eV/atom
* DOS(E_F): 0.975 states/eV/atom
* energy of formation from the pure elements: 22.36 kcal/mol of atoms

(14)
Below is crystalline ReBi3W at its relaxed geometry, with properties calculated at the PBE-GGA level.

a = 5.363 Å, b = 5.363 Å, c = 5.363 Å
α = 90.00°, β = 90.00°, γ = 90.00°
Space group Pm-3m (No. 221)
Asymmetric unit:
Re: 0.000 0.000 0.000 (multiplicity 1)
Bi: 0.000 0.500 0.500 (multiplicity 3)
W: 0.500 0.500 0.500 (multiplicity 1)

Output
* VASP energy: -5.60 eV/atom
* DOS(E_F): 1.036 states/eV/atom
* energy of formation from the pure elements: 41.78 kcal/mol of atoms
* energy above the most stable polymorph in this dataset: 51 meV per atom

(15)
Below is crystalline ReBi3W at its relaxed geometry, with properties calculated at the PBE-GGA level.

a = 5.304 Å, b = 5.304 Å, c = 5.304 Å
α = 90.00°, β = 90.00°, γ = 90.00°
Space group Pm-3m (No. 221)
Asymmetric unit:
Re: 0.000 0.000 0.000 (multiplicity 1)
Bi: 0.000 0.000 0.500 (multiplicity 3)
W: 0.500 0.500 0.500 (multiplicity 1)

Output
* VASP energy: -5.65 eV/atom
* DOS(E_F): 0.856 states/eV/atom
* energy of formation from the pure elements: 40.61 kcal/mol of atoms
* energy above the most stable polymorph in this dataset: 0 meV per atom

(16)
Below is crystalline YRe2Bi at its relaxed geometry, with properties calculated at the PBE-GGA level.

a = 7.973 Å, b = 7.973 Å, c = 5.637 Å
α = 90.00°, β = 90.00°, γ = 90.00°
Space group I-42d (No. 122)
Asymmetric unit:
Y: 0.000 0.000 0.000 (multiplicity 4)
Re: 0.226 0.250 0.625 (multiplicity 8)
Bi: 0.000 0.000 0.500 (multiplicity 4)

Output
* VASP energy: -7.53 eV/atom
* DOS(E_F): 1.787 states/eV/atom
* energy of formation from the pure elements: 29.59 kcal/mol of atoms

(17)
Below is crystalline YReBi3 at its relaxed geometry, with properties calculated at the PBE-GGA level.

a = 5.819 Å, b = 5.819 Å, c = 5.819 Å
α = 90.00°, β = 90.00°, γ = 90.00°
Space group Pm-3m (No. 221)
Asymmetric unit:
Y: 0.000 0.000 0.000 (multiplicity 1)
Re: 0.500 0.500 0.500 (multiplicity 1)
Bi: 0.000 0.000 0.500 (multiplicity 3)

Output
* VASP energy: -4.61 eV/atom
* DOS(E_F): 0.765 states/eV/atom
* energy of formation from the pure elements: 34.65 kcal/mol of atoms
* energy above the most stable polymorph in this dataset: 850 meV per atom

(18)
Below is crystalline YReBi3 at its relaxed geometry, with properties calculated at the PBE-GGA level.

a = 5.383 Å, b = 5.383 Å, c = 5.383 Å
α = 90.00°, β = 90.00°, γ = 90.00°
Space group Pm-3m (No. 221)
Asymmetric unit:
Y: 0.000 0.000 0.000 (multiplicity 1)
Re: 0.500 0.500 0.500 (multiplicity 1)
Bi: 0.000 0.500 0.500 (multiplicity 3)

Output
* VASP energy: -5.46 eV/atom
* DOS(E_F): 1.309 states/eV/atom
* energy of formation from the pure elements: 15.05 kcal/mol of atoms
* energy above the most stable polymorph in this dataset: 0 meV per atom

(19)
Below is crystalline Zn3ReBi at its relaxed geometry, with properties calculated at the PBE-GGA level.

a = 4.858 Å, b = 4.858 Å, c = 4.858 Å
α = 90.00°, β = 90.00°, γ = 90.00°
Space group Pm-3m (No. 221)
Asymmetric unit:
Zn: 0.000 0.000 0.500 (multiplicity 3)
Re: 0.000 0.000 0.000 (multiplicity 1)
Bi: 0.500 0.500 0.500 (multiplicity 1)

Output
* VASP energy: -3.20 eV/atom
* DOS(E_F): 0.819 states/eV/atom
* energy of formation from the pure elements: 19.25 kcal/mol of atoms
* energy above the most stable polymorph in this dataset: 0 meV per atom

(20)
Below is crystalline ZnRe3Bi at its relaxed geometry, with properties calculated at the PBE-GGA level.

a = 4.613 Å, b = 4.613 Å, c = 4.613 Å
α = 90.00°, β = 90.00°, γ = 90.00°
Space group Pm-3m (No. 221)
Asymmetric unit:
Zn: 0.000 0.000 0.000 (multiplicity 1)
Re: 0.000 0.000 0.500 (multiplicity 3)
Bi: 0.500 0.500 0.500 (multiplicity 1)

Output
* VASP energy: -6.49 eV/atom
* DOS(E_F): 0.981 states/eV/atom
* energy of formation from the pure elements: 46.36 kcal/mol of atoms
* energy above the most stable polymorph in this dataset: 0 meV per atom

Computed values of M_tot (unit: μB per formula unit) for the preceding records, in sequence: 2.32; 2.17; 0.00; 0.00; 1.79; 1.63; 4.44; 0.00; 0.01; 4.15; 2.73; 0.00; 1.39; 3.89; 4.11; 0.00; 4.55; 0.00; 0.00; 2.88.